A relaxed structure of NaScPb2Cl8. Source: Alexandria, functional PBE-GGA.

formation energy without anion corrections: -18.82 eV per formula unit
final energy: -4.055 eV/atom
magnetization: 0.0 μB/cell

abc: 6.648 6.392 8.440
angles: 90.00 90.00 89.42
Sites, in units of the cell vectors:
1 Na 0.000 0.000 0.500
2 Sc 0.000 0.000 0.000
3 Pb 0.500 0.500 0.751
4 Pb 0.500 0.500 0.249
5 Cl 0.151 0.783 0.220
6 Cl 0.693 0.771 0.000
7 Cl 0.849 0.217 0.219
8 Cl 0.849 0.217 0.780
9 Cl 0.307 0.229 0.000
10 Cl 0.151 0.783 0.781
11 Cl 0.667 0.729 0.500
12 Cl 0.333 0.271 0.500


A relaxed structure of NaPbSeCl. Source: Alexandria, functional PBE-GGA.

formation energy without anion corrections: -4.42 eV per formula unit
final energy: -3.696 eV/atom
magnetization: 0.0 μB/cell
energy relative to the lowest polymorph listed for this composition: 0.0 meV per atom

abc: 4.253 4.253 7.611
angles: 73.78 73.78 60.00
Sites, in units of the cell vectors:
1 Na 0.756 0.756 0.733
2 Pb 0.258 0.258 0.226
3 Se 0.998 0.998 0.006
4 Cl 0.488 0.488 0.535


A relaxed structure of NaPbSeCl. Source: Alexandria, functional PBE-GGA.

formation energy without anion corrections: -3.69 eV per formula unit
final energy: -3.512 eV/atom
magnetization: 0.0 μB/cell
energy relative to the lowest polymorph listed for this composition: 183.9 meV per atom

abc: 5.201 5.201 5.201
angles: 60.00 60.00 60.00
Sites, in units of the cell vectors:
1 Pb 0.000 0.000 0.000
2 Na 0.500 0.500 0.500
3 Se 0.250 0.250 0.250
4 Cl 0.750 0.750 0.750


A relaxed structure of NaSmPbCl6. Source: Alexandria, functional PBE-GGA.

formation energy without anion corrections: -16.16 eV per formula unit
final energy: -4.110 eV/atom
magnetization: 0.0 μB/cell

abc: 7.089 7.089 12.571
angles: 90.00 90.00 120.00
Sites, in units of the cell vectors:
1 Na 0.333 0.667 0.250
2 Na 0.667 0.333 0.750
3 Sm 0.667 0.333 0.250
4 Sm 0.333 0.667 0.750
5 Pb 0.000 0.000 0.000
6 Pb 0.000 0.000 0.500
7 Cl 0.661 0.649 0.129
8 Cl 0.988 0.339 0.129
9 Cl 0.339 0.988 0.629
10 Cl 0.012 0.661 0.871
11 Cl 0.351 0.339 0.371
12 Cl 0.988 0.649 0.371
13 Cl 0.649 0.988 0.871
14 Cl 0.661 0.012 0.371
15 Cl 0.012 0.351 0.629
16 Cl 0.351 0.012 0.129
17 Cl 0.649 0.661 0.629
18 Cl 0.339 0.351 0.871


A relaxed structure of Na2SnPbCl6. Source: Alexandria, functional PBE-GGA.

formation energy without anion corrections: -13.73 eV per formula unit
final energy: -3.516 eV/atom
magnetization: 0.0 μB/cell

abc: 7.296 7.296 7.674
angles: 61.59 61.58 59.95
Sites, in units of the cell vectors:
1 Na 0.519 0.519 0.443
2 Na 0.016 0.016 0.952
3 Sn 0.321 0.321 0.037
4 Pb 0.819 0.819 0.543
5 Cl 0.626 0.218 0.254
6 Cl 0.218 0.902 0.254
7 Cl 0.902 0.626 0.254
8 Cl 0.399 0.712 0.759
9 Cl 0.712 0.130 0.759
10 Cl 0.130 0.399 0.759


A relaxed structure of NaSrPbCl5. Source: Alexandria, functional PBE-GGA.

formation energy without anion corrections: -13.86 eV per formula unit
final energy: -3.726 eV/atom
magnetization: 0.0 μB/cell

abc: 7.822 7.822 10.121
angles: 104.41 104.41 108.18
Sites, in units of the cell vectors:
1 Na 0.678 0.322 0.250
2 Na 0.322 0.678 0.750
3 Sr 0.000 0.000 0.500
4 Sr 0.000 0.000 0.000
5 Pb 0.362 0.638 0.250
6 Pb 0.638 0.362 0.750
7 Cl 0.122 0.878 0.250
8 Cl 0.878 0.122 0.750
9 Cl 0.987 0.343 0.182
10 Cl 0.013 0.657 0.818
11 Cl 0.657 0.013 0.318
12 Cl 0.343 0.987 0.682
13 Cl 0.690 0.629 0.444
14 Cl 0.310 0.371 0.556
15 Cl 0.371 0.310 0.056
16 Cl 0.629 0.690 0.944


A relaxed structure of Na2SrPbCl. Source: Alexandria, functional PBE-GGA.

formation energy without anion corrections: -3.90 eV per formula unit
final energy: -2.755 eV/atom
magnetization: 0.0 μB/cell

abc: 5.241 5.241 5.872
angles: 90.00 90.00 90.00
Sites, in units of the cell vectors:
1 Pb 0.500 0.500 0.500
2 Sr 0.000 0.000 0.500
3 Na 0.000 0.500 0.000
4 Na 0.500 0.000 0.000
5 Cl 0.000 0.000 0.000


A relaxed structure of Na2SrPbCl8. Source: Alexandria, functional PBE-GGA.

formation energy without anion corrections: -17.33 eV per formula unit
final energy: -3.344 eV/atom
magnetization: 0.0 μB/cell

abc: 6.587 6.469 8.589
angles: 89.99 90.01 92.82
Sites, in units of the cell vectors:
1 Na 0.500 0.500 0.741
2 Na 0.500 0.500 0.259
3 Sr 0.000 0.000 0.500
4 Pb 0.000 0.000 0.000
5 Cl 0.159 0.783 0.219
6 Cl 0.685 0.750 0.000
7 Cl 0.841 0.218 0.219
8 Cl 0.841 0.217 0.781
9 Cl 0.315 0.250 0.000
10 Cl 0.159 0.782 0.781
11 Cl 0.665 0.719 0.500
12 Cl 0.335 0.281 0.500


A relaxed structure of NaTbPbCl6. Source: Alexandria, functional PBE-GGA.

formation energy without anion corrections: -16.24 eV per formula unit
final energy: -4.109 eV/atom
magnetization: 0.0 μB/cell

abc: 7.039 7.039 12.518
angles: 90.00 90.00 120.00
Sites, in units of the cell vectors:
1 Na 0.333 0.667 0.250
2 Na 0.667 0.333 0.750
3 Tb 0.667 0.333 0.250
4 Tb 0.333 0.667 0.750
5 Pb 0.000 0.000 0.000
6 Pb 0.000 0.000 0.500
7 Cl 0.661 0.644 0.130
8 Cl 0.983 0.339 0.130
9 Cl 0.339 0.983 0.630
10 Cl 0.017 0.661 0.870
11 Cl 0.356 0.339 0.370
12 Cl 0.983 0.644 0.370
13 Cl 0.644 0.983 0.870
14 Cl 0.661 0.017 0.370
15 Cl 0.017 0.356 0.630
16 Cl 0.356 0.017 0.130
17 Cl 0.644 0.661 0.630
18 Cl 0.339 0.356 0.870


A relaxed structure of NaTbPb2Cl8. Source: Alexandria, functional PBE-GGA.

formation energy without anion corrections: -19.64 eV per formula unit
final energy: -3.981 eV/atom
magnetization: 0.0 μB/cell

abc: 6.748 6.500 8.610
angles: 90.00 90.00 89.61
Sites, in units of the cell vectors:
1 Na 0.000 0.000 0.500
2 Tb 0.000 0.000 0.000
3 Pb 0.500 0.500 0.744
4 Pb 0.500 0.500 0.256
5 Cl 0.157 0.779 0.232
6 Cl 0.683 0.755 0.000
7 Cl 0.843 0.221 0.232
8 Cl 0.843 0.221 0.768
9 Cl 0.317 0.245 0.000
10 Cl 0.157 0.779 0.768
11 Cl 0.669 0.728 0.500
12 Cl 0.331 0.272 0.500


A relaxed structure of Na2TcPbCl8. Source: Alexandria, functional PBE-GGA.

formation energy without anion corrections: -13.77 eV per formula unit
final energy: -3.771 eV/atom
magnetization: 3.0 μB/cell

abc: 6.544 6.299 8.335
angles: 90.00 90.00 92.36
Sites, in units of the cell vectors:
1 Na 0.500 0.500 0.751
2 Na 0.500 0.500 0.249
3 Tc 0.000 0.000 0.000
4 Pb 0.000 0.000 0.500
5 Cl 0.148 0.788 0.203
6 Cl 0.703 0.769 0.000
7 Cl 0.852 0.212 0.203
8 Cl 0.852 0.212 0.797
9 Cl 0.297 0.231 0.000
10 Cl 0.148 0.788 0.797
11 Cl 0.661 0.722 0.500
12 Cl 0.339 0.278 0.500


A relaxed structure of NaTePbCl. Source: Alexandria, functional PBE-GGA.

formation energy without anion corrections: -3.82 eV per formula unit
final energy: -3.460 eV/atom
magnetization: 0.0 μB/cell
energy relative to the lowest polymorph listed for this composition: 0.0 meV per atom

abc: 4.499 4.499 16.726
angles: 82.27 82.27 60.00
Sites, in units of the cell vectors:
1 Na 0.640 0.640 0.080
2 Na 0.360 0.360 0.920
3 Te 0.103 0.103 0.691
4 Te 0.897 0.897 0.309
5 Pb 0.802 0.802 0.593
6 Pb 0.198 0.198 0.407
7 Cl 0.698 0.698 0.907
8 Cl 0.302 0.302 0.093


A relaxed structure of NaTePbCl. Source: Alexandria, functional PBE-GGA.

formation energy without anion corrections: -3.32 eV per formula unit
final energy: -3.334 eV/atom
magnetization: 0.0 μB/cell
energy relative to the lowest polymorph listed for this composition: 125.8 meV per atom

abc: 5.416 5.416 5.416
angles: 60.00 60.00 60.00
Sites, in units of the cell vectors:
1 Pb 0.250 0.250 0.250
2 Na 0.750 0.750 0.750
3 Te 0.500 0.500 0.500
4 Cl 0.000 0.000 0.000


A relaxed structure of Na2ThPbCl8. Source: Alexandria, functional PBE-GGA.

formation energy without anion corrections: -21.32 eV per formula unit
final energy: -4.155 eV/atom
magnetization: 0.0 μB/cell

abc: 6.703 6.581 8.731
angles: 89.99 90.00 92.98
Sites, in units of the cell vectors:
1 Na 0.500 0.500 0.736
2 Na 0.500 0.500 0.264
3 Th 0.000 0.000 0.000
4 Pb 0.000 0.000 0.500
5 Cl 0.175 0.794 0.228
6 Cl 0.693 0.721 0.000
7 Cl 0.825 0.206 0.228
8 Cl 0.825 0.206 0.772
9 Cl 0.307 0.279 0.000
10 Cl 0.175 0.794 0.772
11 Cl 0.681 0.710 0.500
12 Cl 0.319 0.290 0.500


A relaxed structure of NaTlPbCl6. Source: Alexandria, functional PBE-GGA.

formation energy without anion corrections: -9.68 eV per formula unit
final energy: -3.128 eV/atom
magnetization: 0.0 μB/cell

abc: 7.140 7.140 12.287
angles: 90.00 90.00 120.00
Sites, in units of the cell vectors:
1 Na 0.000 0.000 0.000
2 Na 0.000 0.000 0.500
3 Tl 0.667 0.333 0.250
4 Tl 0.333 0.667 0.750
5 Pb 0.333 0.667 0.250
6 Pb 0.667 0.333 0.750
7 Cl 0.667 0.637 0.127
8 Cl 0.970 0.333 0.127
9 Cl 0.333 0.970 0.627
10 Cl 0.030 0.667 0.873
11 Cl 0.363 0.333 0.373
12 Cl 0.970 0.637 0.373
13 Cl 0.637 0.970 0.873
14 Cl 0.667 0.030 0.373
15 Cl 0.030 0.363 0.627
16 Cl 0.363 0.030 0.127
17 Cl 0.637 0.667 0.627
18 Cl 0.333 0.363 0.873


A relaxed structure of NaTl2PbCl6. Source: Alexandria, functional PBE-GGA.

formation energy without anion corrections: -10.92 eV per formula unit
final energy: -3.176 eV/atom
magnetization: 0.0 μB/cell

abc: 7.353 7.834 10.662
angles: 90.00 90.76 90.00
Sites, in units of the cell vectors:
1 Na 0.500 0.000 0.500
2 Na 0.000 0.500 0.000
3 Tl 0.024 0.926 0.249
4 Tl 0.524 0.574 0.749
5 Tl 0.976 0.074 0.751
6 Tl 0.476 0.426 0.251
7 Pb 0.500 0.000 0.000
8 Pb 0.000 0.500 0.500
9 Cl 0.315 0.704 0.050
10 Cl 0.815 0.796 0.550
11 Cl 0.685 0.296 0.950
12 Cl 0.185 0.204 0.450
13 Cl 0.306 0.690 0.454
14 Cl 0.806 0.810 0.954
15 Cl 0.694 0.310 0.546
16 Cl 0.194 0.190 0.046
17 Cl 0.898 0.526 0.252
18 Cl 0.398 0.974 0.752
19 Cl 0.102 0.474 0.748
20 Cl 0.602 0.026 0.248


A relaxed structure of NaTlPb2Cl8. Source: Alexandria, functional PBE-GGA.

formation energy without anion corrections: -13.05 eV per formula unit
final energy: -3.244 eV/atom
magnetization: 0.0 μB/cell

abc: 6.732 6.452 8.539
angles: 90.00 90.00 89.46
Sites, in units of the cell vectors:
1 Na 0.000 0.000 0.500
2 Tl 0.000 0.000 0.000
3 Pb 0.500 0.500 0.747
4 Pb 0.500 0.500 0.253
5 Cl 0.150 0.775 0.231
6 Cl 0.678 0.763 0.000
7 Cl 0.850 0.225 0.231
8 Cl 0.850 0.225 0.769
9 Cl 0.322 0.237 0.000
10 Cl 0.150 0.775 0.769
11 Cl 0.666 0.729 0.500
12 Cl 0.334 0.271 0.500


A relaxed structure of Na2TlPbCl6. Source: Alexandria, functional PBE-GGA.

formation energy without anion corrections: -12.62 eV per formula unit
final energy: -3.242 eV/atom
magnetization: 0.0 μB/cell

abc: 7.219 7.218 7.747
angles: 62.24 62.22 59.98
Sites, in units of the cell vectors:
1 Na 0.515 0.515 0.456
2 Na 0.017 0.017 0.951
3 Tl 0.317 0.317 0.050
4 Pb 0.817 0.818 0.547
5 Cl 0.615 0.221 0.252
6 Cl 0.221 0.912 0.252
7 Cl 0.912 0.615 0.252
8 Cl 0.411 0.722 0.752
9 Cl 0.722 0.115 0.752
10 Cl 0.115 0.411 0.752


A relaxed structure of Na2TlPbCl8. Source: Alexandria, functional PBE-GGA.

formation energy without anion corrections: -12.82 eV per formula unit
final energy: -3.026 eV/atom
magnetization: 0.0 μB/cell

abc: 6.467 6.351 8.488
angles: 90.00 90.00 94.94
Sites, in units of the cell vectors:
1 Na 0.500 0.500 0.757
2 Na 0.500 0.500 0.243
3 Tl 0.000 0.000 0.000
4 Pb 0.000 0.000 0.500
5 Cl 0.168 0.791 0.243
6 Cl 0.684 0.736 0.000
7 Cl 0.832 0.209 0.243
8 Cl 0.832 0.209 0.757
9 Cl 0.316 0.264 0.000
10 Cl 0.168 0.791 0.757
11 Cl 0.677 0.706 0.500
12 Cl 0.323 0.294 0.500


A relaxed structure of NaTlPbCl4. Source: Alexandria, functional PBE-GGA.

formation energy without anion corrections: -8.70 eV per formula unit
final energy: -3.354 eV/atom
magnetization: 0.0 μB/cell

abc: 7.747 7.415 9.064
angles: 90.00 113.11 90.00
Sites, in units of the cell vectors:
1 Na 0.256 0.750 0.317
2 Na 0.744 0.250 0.683
3 Tl 0.718 0.750 0.971
4 Tl 0.282 0.250 0.029
5 Pb 0.811 0.750 0.464
6 Pb 0.189 0.250 0.536
7 Cl 0.015 0.495 0.712
8 Cl 0.985 0.995 0.288
9 Cl 0.985 0.505 0.288
10 Cl 0.015 0.005 0.712
11 Cl 0.474 0.750 0.153
12 Cl 0.526 0.250 0.847
13 Cl 0.539 0.750 0.601
14 Cl 0.461 0.250 0.399